## Na2CdPb8 (PBE)

Data for a relaxed Na2CdPb8 crystal.

Its polymorph energy (0 for the lowest one) is 0.0 meV/atom. The formation energy is -0.05 eV/atom. Its volume is 665.22 Å³ per cell.

The space group is C2/m (No. 12) and the conventional cell measures 17.645, 4.996 and 7.832 Å, with angles of 90.00, 105.53 and 90.00 degrees. The asymmetric unit holds Na at (0.224, 0.000, 0.143), Cd at (0.000, 0.500, 0.500), Pb at (0.040, 0.000, 0.239), Pb at (0.089, 0.500, 0.962), Pb at (0.136, 0.000, 0.679) and Pb at (0.178, 0.500, 0.421).